[1]
Entry from OQMD: a relaxed Y3Ho2Hg3 crystal (PBE-GGA).

Geometry as extended XYZ:
```
8
Lattice="-2.757 4.769 0.974 -0.561 -1.599 6.236 5.061 2.245 3.332" Properties=species:S:1:pos:R:3 pbc="T T T"
Hg 1.688 3.456 3.921
Hg 3.734 0.536 7.939
Hg -0.648 1.859 5.128
Ho 1.489 0.214 3.166
Ho 1.772 2.837 7.185
Y -0.737 2.477 1.851
Y 1.170 -0.601 6.252
Y 4.019 1.347 4.780
```

relative energy among the computed polymorphs: 0.00 eV/f.u.
total DFT energy (no corrections): -30.921 eV/cell

[2]
Entry from OQMD: a relaxed Y3Ho2Hg3 crystal (PBE-GGA).

Geometry as extended XYZ:
```
8
Lattice="6.941 0.000 0.000 -3.470 6.011 0.000 0.000 0.000 5.192" Properties=species:S:1:pos:R:3 pbc="T T T"
Ho 0.000 4.007 2.596
Ho 0.000 0.000 0.000
Y 5.174 2.987 0.000
Y 3.470 0.037 0.000
Y 1.767 2.987 0.000
Hg 1.746 1.008 2.596
Hg 3.470 3.995 2.596
Hg 5.195 1.008 2.596
```

relative energy among the computed polymorphs: 0.35 eV/f.u.
total DFT energy (no corrections): -30.573 eV/cell

[3]
Entry from OQMD: a relaxed HoZrHg crystal (PBE-GGA).

Geometry as extended XYZ:
```
3
Lattice="0.000 3.477 3.477 3.477 0.000 3.477 3.477 3.477 0.000" Properties=species:S:1:pos:R:3 pbc="T T T"
Hg 0.000 0.000 0.000
Ho 1.738 1.738 1.738
Zr 5.215 5.215 5.215
```

relative energy among the computed polymorphs: 0.00 eV/f.u.
total DFT energy (no corrections): -12.906 eV/cell

[4]
Entry from OQMD: a relaxed Hg2I crystal (PBE-GGA).

Geometry as extended XYZ:
```
6
Lattice="0.748 1.890 -3.648 -3.772 -1.745 0.405 -4.400 10.574 4.576" Properties=species:S:1:pos:R:3 pbc="T T T"
I -2.826 5.964 -0.134
I -6.732 9.878 3.684
Hg -4.436 9.346 1.519
Hg -3.638 2.931 0.489
Hg -6.743 5.519 3.500
Hg -0.102 3.804 -2.771
```

relative energy among the computed polymorphs: 0.00 eV/f.u.
total DFT energy (no corrections): -4.760 eV/cell

[5]
Entry from OQMD: a relaxed Hg2I crystal (PBE-GGA).

Geometry as extended XYZ:
```
6
Lattice="5.672 -2.697 -0.222 2.888 -1.687 5.321 0.645 -6.085 1.432" Properties=species:S:1:pos:R:3 pbc="T T T"
Hg 2.917 -5.195 4.193
Hg 5.431 -3.501 3.365
Hg 4.309 -5.700 1.421
Hg 5.753 -6.543 4.081
I 2.301 -2.617 1.633
I 0.000 0.000 0.000
```

relative energy among the computed polymorphs: 0.63 eV/f.u.
total DFT energy (no corrections): -3.503 eV/cell

[6]
Entry from OQMD: a relaxed HgI7 crystal (PBE-GGA).

Geometry as extended XYZ:
```
16
Lattice="8.394 0.000 0.000 4.139 8.137 0.000 1.258 1.697 11.156" Properties=species:S:1:pos:R:3 pbc="T T T"
I 2.705 2.207 1.018
I 9.744 3.805 8.304
I 1.369 2.351 4.228
I 4.047 6.030 2.852
I 11.086 7.628 10.138
I 6.119 2.181 2.475
I 12.422 7.484 6.928
I 5.492 3.237 6.490
I 4.916 3.622 9.574
I 5.237 6.047 0.061
I 8.299 6.598 4.667
I 8.875 6.213 1.582
I 8.554 3.787 11.095
I 7.672 7.654 8.681
Hg 5.738 7.658 4.432
Hg 8.053 2.177 6.724
```

total DFT energy (no corrections): -22.980 eV/cell

[7]
Entry from OQMD: a relaxed HgI3 crystal (PBE-GGA).

Geometry as extended XYZ:
```
8
Lattice="-0.238 3.854 -6.611 -3.223 -2.203 -6.586 -6.042 3.010 7.924" Properties=species:S:1:pos:R:3 pbc="T T T"
I -7.275 1.749 -4.765
I -5.466 0.882 -2.631
I -1.702 2.575 -3.710
I -6.413 4.904 -1.576
I -2.479 -0.693 -6.593
I -3.669 -0.010 -0.497
Hg -8.406 4.026 -3.430
Hg -1.178 0.472 -1.843
```

total DFT energy (no corrections): -11.662 eV/cell

[8]
Entry from OQMD: a relaxed Hg2I crystal (PBE-GGA).

Geometry as extended XYZ:
```
6
Lattice="7.437 0.000 0.000 0.000 7.437 0.000 0.000 0.000 4.929" Properties=species:S:1:pos:R:3 pbc="T T T"
Hg 5.944 1.493 2.464
Hg 2.226 2.226 0.000
Hg 1.493 5.944 2.464
Hg 5.211 5.211 0.000
I 0.000 0.000 0.000
I 3.719 3.719 2.464
```

relative energy among the computed polymorphs: 0.61 eV/f.u.
total DFT energy (no corrections): -3.549 eV/cell

[9]
Entry from OQMD: a relaxed K2LiHgI6 crystal (PBE-GGA).

Geometry as extended XYZ:
```
10
Lattice="-7.478 -1.042 1.787 -2.363 -3.106 6.705 3.445 8.885 0.147" Properties=species:S:1:pos:R:3 pbc="T T T"
K 0.309 5.460 1.971
K -6.705 -0.723 6.668
I -3.067 0.113 5.981
I -5.595 1.134 3.550
I -3.328 4.624 2.658
I -0.800 3.603 5.089
I -1.872 0.105 1.990
I -4.524 4.632 6.649
Li -3.198 2.368 4.320
Hg 0.000 0.000 0.000
```

total DFT energy (no corrections): -22.030 eV/cell

[10]
Entry from OQMD: a relaxed Li2HgI4 crystal (PBE-GGA).

Geometry as extended XYZ:
```
7
Lattice="7.753 -0.343 1.210 2.127 5.368 5.324 -5.586 -5.521 0.024" Properties=species:S:1:pos:R:3 pbc="T T T"
Li 4.940 2.512 3.267
Li 0.740 1.180 4.308
Hg 0.000 0.000 0.000
I 2.035 -3.699 3.100
I 3.364 0.343 3.986
I -1.670 -2.160 0.854
I 4.856 4.525 5.177
```

total DFT energy (no corrections): -16.023 eV/cell

[11]
Entry from OQMD: a relaxed Li6HgI8 crystal (PBE-GGA).

Geometry as extended XYZ:
```
15
Lattice="-7.730 3.419 -0.489 -2.787 3.131 -7.356 -6.136 -3.997 -4.249" Properties=species:S:1:pos:R:3 pbc="T T T"
I -7.247 -1.321 -5.161
I -9.405 3.875 -6.932
I -5.597 2.191 -6.692
I -12.489 1.915 -9.070
I -8.032 2.332 -3.308
I -8.620 0.221 -8.785
I -11.055 0.363 -5.402
I -4.163 0.638 -3.023
Li -5.258 3.275 -3.922
Li -3.865 1.709 -0.244
Li -3.068 -1.998 -2.125
Li -6.933 -0.289 -2.369
Li -4.461 -0.433 -5.803
Li -1.393 1.566 -3.678
Hg 0.000 0.000 0.000
```

total DFT energy (no corrections): -38.857 eV/cell

[12]
Entry from OQMD: a relaxed NdHgI crystal (PBE-GGA).

Geometry as extended XYZ:
```
6
Lattice="4.139 0.000 0.000 0.000 4.550 0.000 -0.784 0.000 9.657" Properties=species:S:1:pos:R:3 pbc="T T T"
Nd 0.245 1.137 7.214
Nd 3.110 3.413 2.443
I 2.307 3.413 8.534
I 1.048 1.137 1.123
Hg 2.580 1.137 4.677
Hg 0.774 3.413 4.981
```

relative energy among the computed polymorphs: 0.00 eV/f.u.
total DFT energy (no corrections): -17.478 eV/cell